(1)
This record from Alexandria describes crystalline Pr3Al2Ag4 at its relaxed geometry. The functional is PBE.

POSCAR file:
```
Pr3Al2Ag4
1.0
4.752 0.000 0.000
-2.376 5.517 -0.533
0.000 -3.013 8.508
Pr Al Ag
3 2 4
Direct
0.651 0.302 0.680 Pr
0.000 0.000 0.000 Pr
0.349 0.698 0.320 Pr
0.639 0.278 0.309 Al
0.361 0.722 0.691 Al
0.714 0.429 0.062 Ag
0.286 0.571 0.938 Ag
0.912 0.824 0.589 Ag
0.088 0.176 0.411 Ag
```

Summary:
The calculation puts the energy of formation at -0.32 eV per atom. The density of states at the Fermi level is 6.7 states/eV/f.u.


(2)
This record from Alexandria describes crystalline PrAl4Ag2 at its relaxed geometry. The functional is PBE.

POSCAR file:
```
PrAl4Ag2
1.0
4.308 0.000 0.000
0.000 4.334 0.000
0.000 -2.167 7.538
Pr Al Ag
1 4 2
Direct
0.000 0.000 0.000 Pr
0.500 0.811 0.623 Al
0.000 0.691 0.382 Al
0.500 0.189 0.377 Al
0.000 0.309 0.618 Al
0.500 0.590 0.181 Ag
0.500 0.410 0.819 Ag
```

Summary:
The calculation puts the energy of formation at -0.22 eV per atom. The value obtained for the energy above the lowest structure with this stoichiometry is 0 meV per atom. The density of states at the Fermi level is 1.6 states/eV/f.u.


(3)
This record from Alexandria describes crystalline Pr6Al3Ag at its relaxed geometry. The functional is PBE.

POSCAR file:
```
Pr6Al3Ag
1.0
8.407 0.000 -0.151
0.000 7.955 0.000
-0.079 0.000 9.108
Pr Al Ag
12 6 2
Direct
0.679 0.169 0.930 Pr
0.650 0.146 0.568 Pr
0.755 0.405 0.259 Pr
0.245 0.595 0.741 Pr
0.350 0.854 0.432 Pr
0.321 0.831 0.070 Pr
0.179 0.331 0.430 Pr
0.150 0.354 0.068 Pr
0.255 0.095 0.759 Pr
0.745 0.905 0.241 Pr
0.850 0.646 0.932 Pr
0.821 0.669 0.570 Pr
0.544 0.832 0.779 Al
0.500 0.500 0.000 Al
0.456 0.168 0.221 Al
0.044 0.668 0.279 Al
0.000 0.000 0.500 Al
0.956 0.332 0.721 Al
0.500 0.500 0.500 Ag
0.000 0.000 0.000 Ag
```

Summary:
The calculation puts the energy of formation at -0.07 eV per atom. The density of states at the Fermi level is 9.8 states/eV/f.u.


(4)
This record from Alexandria describes crystalline PrAlAg at its relaxed geometry. The functional is PBE.

POSCAR file:
```
PrAlAg
1.0
-1.967 1.753 2.679
-1.919 -4.113 1.283
4.018 1.453 1.999
Pr Al Ag
1 1 1
Direct
0.667 0.667 0.333 Pr
0.167 0.333 0.667 Al
0.167 0.000 0.000 Ag
```

Summary:
The calculation puts the energy of formation at -0.35 eV per atom. The density of states at the Fermi level is 3.7 states/eV/f.u.


(5)
This record from Alexandria describes crystalline Pr2Al4Ag5 at its relaxed geometry. The functional is PBE.

POSCAR file:
```
Pr2Al4Ag5
1.0
-3.242 4.313 2.882
-1.844 -0.661 5.407
5.043 5.383 4.108
Pr Al Ag
2 4 5
Direct
0.859 0.000 0.283 Pr
0.141 0.000 0.717 Pr
0.496 0.281 0.726 Al
0.504 0.719 0.274 Al
0.223 0.281 0.274 Al
0.777 0.719 0.726 Al
0.500 0.000 0.000 Ag
0.000 0.500 0.000 Ag
0.500 0.500 0.000 Ag
0.250 0.500 0.500 Ag
0.750 0.500 0.500 Ag
```

Summary:
The calculation puts the energy of formation at -0.24 eV per atom. The density of states at the Fermi level is 5.9 states/eV/f.u.


(6)
This record from Alexandria describes crystalline Pr3Al2Ag3 at its relaxed geometry. The functional is PBE.

POSCAR file:
```
Pr3Al2Ag3
1.0
4.660 0.000 0.000
-2.330 5.550 0.000
0.000 0.000 15.341
Pr Al Ag
6 4 6
Direct
0.908 0.815 0.394 Pr
0.092 0.185 0.894 Pr
0.908 0.815 0.106 Pr
0.092 0.185 0.606 Pr
0.605 0.211 0.250 Pr
0.395 0.789 0.750 Pr
0.798 0.596 0.902 Al
0.202 0.404 0.402 Al
0.798 0.596 0.598 Al
0.202 0.404 0.098 Al
0.619 0.238 0.460 Ag
0.381 0.762 0.960 Ag
0.619 0.238 0.040 Ag
0.381 0.762 0.540 Ag
0.318 0.637 0.250 Ag
0.682 0.363 0.750 Ag
```

Summary:
The calculation puts the energy of formation at -0.32 eV per atom. The value obtained for the energy above the lowest structure with this stoichiometry is 0 meV per atom. The density of states at the Fermi level is 8.2 states/eV/f.u.


(7)
This record from Alexandria describes crystalline PrAl4Ag8 at its relaxed geometry. The functional is PBE.

POSCAR file:
```
PrAl4Ag8
1.0
-2.083 -3.681 3.334
5.000 -4.520 2.482
0.061 2.214 6.832
Pr Al Ag
1 4 8
Direct
0.000 0.000 0.000 Pr
0.000 0.000 0.500 Al
0.500 0.000 0.500 Al
0.000 0.500 0.000 Al
0.500 0.500 0.000 Al
0.000 0.345 0.655 Ag
0.000 0.655 0.345 Ag
0.345 0.655 0.655 Ag
0.655 0.345 0.345 Ag
0.500 0.782 0.218 Ag
0.500 0.218 0.782 Ag
0.282 0.218 0.218 Ag
0.718 0.782 0.782 Ag
```

Summary:
The calculation puts the energy of formation at -0.21 eV per atom. The density of states at the Fermi level is 5.2 states/eV/f.u.


(8)
This record from Alexandria describes crystalline Pr3AlAg3 at its relaxed geometry. The functional is PBE.

POSCAR file:
```
Pr3AlAg3
1.0
4.446 0.000 0.670
2.196 5.528 0.509
0.013 -0.048 15.006
Pr Al Ag
6 2 6
Direct
0.531 0.325 0.613 Pr
0.469 0.675 0.387 Pr
0.246 0.273 0.236 Pr
0.754 0.727 0.764 Pr
0.400 0.281 0.919 Pr
0.600 0.719 0.081 Pr
0.756 0.093 0.395 Al
0.244 0.907 0.605 Al
0.859 0.741 0.540 Ag
0.141 0.259 0.460 Ag
0.114 0.850 0.923 Ag
0.886 0.150 0.077 Ag
0.958 0.848 0.237 Ag
0.042 0.152 0.763 Ag
```

Summary:
The calculation puts the energy of formation at -0.26 eV per atom. The density of states at the Fermi level is 8.0 states/eV/f.u.


(9)
This record from Alexandria describes crystalline Pr2Al3Ag at its relaxed geometry. The functional is PBE.

POSCAR file:
```
Pr2Al3Ag
1.0
-4.416 -1.979 3.609
2.596 -4.941 2.300
3.891 7.844 3.098
Pr Al Ag
4 6 2
Direct
0.750 0.250 0.500 Pr
0.742 0.258 0.000 Pr
0.250 0.750 0.500 Pr
0.258 0.742 0.000 Pr
0.836 0.836 0.166 Al
0.670 0.670 0.834 Al
0.164 0.164 0.834 Al
0.330 0.330 0.166 Al
0.165 0.165 0.329 Al
0.835 0.835 0.671 Al
0.668 0.668 0.336 Ag
0.332 0.332 0.664 Ag
```

Summary:
The calculation puts the energy of formation at -0.42 eV per atom. The value obtained for the energy above the lowest structure with this stoichiometry is 21 meV per atom. The density of states at the Fermi level is 4.6 states/eV/f.u.


(10)
This record from Alexandria describes crystalline PrAlAg4 at its relaxed geometry. The functional is PBE.

POSCAR file:
```
PrAlAg4
1.0
-5.294 -1.855 -0.050
-2.550 -1.073 -4.880
-1.102 -5.296 -1.484
Pr Al Ag
1 1 4
Direct
0.250 0.250 0.250 Pr
0.000 0.000 0.000 Al
0.625 0.625 0.124 Ag
0.625 0.124 0.625 Ag
0.625 0.625 0.625 Ag
0.124 0.625 0.625 Ag
```

Summary:
The calculation puts the energy of formation at -0.15 eV per atom. The value obtained for the energy above the lowest structure with this stoichiometry is 0 meV per atom. The density of states at the Fermi level is 1.4 states/eV/f.u.


(11)
This record from Alexandria describes crystalline Pr2Al3Ag5 at its relaxed geometry. The functional is PBE.

POSCAR file:
```
Pr2Al3Ag5
1.0
-5.802 0.338 -2.234
-3.964 -7.971 0.412
-5.834 1.117 6.644
Pr Al Ag
4 6 10
Direct
0.131 0.601 0.136 Pr
0.631 0.136 0.601 Pr
0.869 0.399 0.864 Pr
0.369 0.864 0.399 Pr
0.369 0.512 0.751 Al
0.869 0.751 0.512 Al
0.631 0.488 0.249 Al
0.131 0.249 0.488 Al
0.250 0.000 0.000 Al
0.750 0.000 0.000 Al
0.395 0.259 0.952 Ag
0.895 0.952 0.259 Ag
0.605 0.741 0.048 Ag
0.105 0.048 0.741 Ag
0.485 0.765 0.765 Ag
0.515 0.235 0.235 Ag
0.750 0.500 0.500 Ag
0.250 0.500 0.500 Ag
0.015 0.235 0.235 Ag
0.985 0.765 0.765 Ag
```

Summary:
The calculation puts the energy of formation at -0.28 eV per atom. The density of states at the Fermi level is 6.8 states/eV/f.u.


(12)
This record from Alexandria describes crystalline PrAlAg3 at its relaxed geometry. The functional is PBE.

POSCAR file:
```
PrAlAg3
1.0
4.323 -0.004 0.001
-0.003 4.323 0.001
2.159 2.159 5.867
Pr Al Ag
1 1 3
Direct
0.404 0.208 0.898 Pr
0.017 0.820 0.670 Al
0.643 0.947 0.419 Ag
0.143 0.446 0.419 Ag
0.800 0.604 0.105 Ag
```

Summary:
The calculation puts the energy of formation at -0.21 eV per atom. The density of states at the Fermi level is 2.6 states/eV/f.u.


(13)
This record from Alexandria describes crystalline PrAl5Ag7 at its relaxed geometry. The functional is PBE.

POSCAR file:
```
PrAl5Ag7
1.0
5.434 0.000 0.000
2.717 6.608 -0.025
2.717 -0.046 6.608
Pr Al Ag
1 5 7
Direct
0.000 0.000 0.000 Pr
0.500 0.002 0.494 Al
0.003 0.002 0.494 Al
0.500 0.494 0.002 Al
0.003 0.494 0.002 Al
0.725 0.775 0.775 Al
0.652 0.348 0.348 Ag
0.338 0.662 0.662 Ag
0.994 0.352 0.660 Ag
0.994 0.660 0.352 Ag
0.278 0.222 0.222 Ag
0.506 0.785 0.203 Ag
0.506 0.203 0.785 Ag
```

Summary:
The calculation puts the energy of formation at -0.21 eV per atom. The density of states at the Fermi level is 5.4 states/eV/f.u.


(14)
This record from Alexandria describes crystalline Pr2Al5Ag12 at its relaxed geometry. The functional is PBE.

POSCAR file:
```
Pr2Al5Ag12
1.0
7.183 0.159 0.777
0.714 7.149 0.777
0.172 0.159 7.223
Pr Al Ag
2 5 12
Direct
0.662 0.662 0.662 Pr
0.338 0.338 0.338 Pr
0.000 0.000 0.500 Al
0.000 0.500 0.000 Al
0.500 0.000 0.000 Al
0.905 0.905 0.905 Al
0.095 0.095 0.095 Al
0.298 0.702 0.000 Ag
0.702 0.000 0.298 Ag
0.000 0.298 0.702 Ag
0.702 0.298 0.000 Ag
0.298 0.000 0.702 Ag
0.000 0.702 0.298 Ag
0.343 0.343 0.861 Ag
0.343 0.861 0.343 Ag
0.861 0.343 0.343 Ag
0.657 0.139 0.657 Ag
0.657 0.657 0.139 Ag
0.139 0.657 0.657 Ag
```

Summary:
The calculation puts the energy of formation at -0.19 eV per atom. The density of states at the Fermi level is 7.0 states/eV/f.u.


(15)
This record from Alexandria describes crystalline PrAl4Ag at its relaxed geometry. The functional is PBE.

POSCAR file:
```
PrAl4Ag
1.0
-0.628 -5.383 1.280
4.064 -3.628 -1.151
2.981 -2.245 4.133
Pr Al Ag
1 4 1
Direct
0.000 0.000 0.000 Pr
0.626 0.626 0.123 Al
0.626 0.123 0.626 Al
0.626 0.626 0.626 Al
0.123 0.626 0.626 Al
0.250 0.250 0.250 Ag
```

Summary:
The calculation puts the energy of formation at -0.14 eV per atom. The value obtained for the energy above the lowest structure with this stoichiometry is 117 meV per atom. The density of states at the Fermi level is 1.7 states/eV/f.u.


(16)
This record from Alexandria describes crystalline Pr2Al5Ag4 at its relaxed geometry. The functional is PBE.

POSCAR file:
```
Pr2Al5Ag4
1.0
5.536 0.000 0.000
2.768 6.381 -1.033
2.768 0.685 6.428
Pr Al Ag
2 5 4
Direct
0.272 0.728 0.728 Pr
0.728 0.272 0.272 Pr
0.247 0.235 0.765 Al
0.753 0.765 0.235 Al
0.000 0.500 0.500 Al
0.753 0.235 0.765 Al
0.247 0.765 0.235 Al
0.255 0.081 0.408 Ag
0.745 0.919 0.592 Ag
0.745 0.592 0.919 Ag
0.255 0.408 0.081 Ag
```

Summary:
The calculation puts the energy of formation at -0.30 eV per atom. The value obtained for the energy above the lowest structure with this stoichiometry is 0 meV per atom. The density of states at the Fermi level is 3.0 states/eV/f.u.


(17)
This record from Alexandria describes crystalline Pr3Al4Ag4 at its relaxed geometry. The functional is PBE.

POSCAR file:
```
Pr3Al4Ag4
1.0
-0.295 -2.015 3.467
4.139 -1.603 -0.574
7.192 9.291 8.349
Pr Al Ag
3 4 4
Direct
0.148 0.647 0.704 Pr
0.852 0.353 0.296 Pr
0.000 0.000 0.000 Pr
0.598 0.097 0.805 Al
0.253 0.254 0.494 Al
0.747 0.746 0.506 Al
0.402 0.903 0.195 Al
0.551 0.550 0.900 Ag
0.449 0.450 0.100 Ag
0.308 0.809 0.383 Ag
0.692 0.191 0.617 Ag
```

Summary:
The calculation puts the energy of formation at -0.32 eV per atom. The value obtained for the energy above the lowest structure with this stoichiometry is 13 meV per atom. The density of states at the Fermi level is 9.1 states/eV/f.u.


(18)
This record from Alexandria describes crystalline PrAlAg at its relaxed geometry. The functional is PBE.

POSCAR file:
```
PrAlAg
1.0
-5.420 2.881 -5.951
2.486 -3.882 -3.789
-4.620 -3.950 -0.855
Pr Al Ag
4 4 4
Direct
0.146 0.058 0.309 Pr
0.117 0.405 0.769 Pr
0.648 0.455 0.265 Pr
0.413 0.892 0.682 Pr
0.997 0.560 0.289 Al
0.482 0.358 0.854 Al
0.549 0.968 0.096 Al
0.980 0.865 0.888 Al
0.774 0.677 0.698 Ag
0.792 0.988 0.269 Ag
0.790 0.186 0.679 Ag
0.321 0.590 0.201 Ag
```

Summary:
The calculation puts the energy of formation at -0.30 eV per atom. The density of states at the Fermi level is 2.0 states/eV/f.u.


(19)
This record from Alexandria describes crystalline PrAl2Ag6 at its relaxed geometry. The functional is PBE.

POSCAR file:
```
PrAl2Ag6
1.0
-0.301 -2.056 -3.845
1.311 -3.718 1.886
-8.893 -2.189 1.866
Pr Al Ag
1 2 6
Direct
0.000 0.000 0.000 Pr
0.500 0.500 0.137 Al
0.500 0.500 0.863 Al
0.000 0.500 0.292 Ag
0.500 0.000 0.292 Ag
0.000 0.500 0.708 Ag
0.500 0.000 0.708 Ag
0.500 0.500 0.500 Ag
0.000 0.000 0.500 Ag
```

Summary:
The calculation puts the energy of formation at -0.17 eV per atom. The value obtained for the energy above the lowest structure with this stoichiometry is 0 meV per atom. The density of states at the Fermi level is 5.0 states/eV/f.u.


(20)
This record from Alexandria describes crystalline Pr4Al2Ag at its relaxed geometry. The functional is PBE.

POSCAR file:
```
Pr4Al2Ag
1.0
-1.313 3.506 -3.766
-5.113 0.975 -1.054
-2.150 7.735 4.206
Pr Al Ag
4 2 1
Direct
0.871 0.871 0.386 Pr
0.129 0.129 0.614 Pr
0.620 0.620 0.141 Pr
0.380 0.380 0.859 Pr
0.748 0.748 0.756 Al
0.252 0.252 0.244 Al
0.000 0.000 0.000 Ag
```

Summary:
The calculation puts the energy of formation at -0.17 eV per atom. The density of states at the Fermi level is 9.7 states/eV/f.u.


no.,electronic total energy (eV/atom)
1,-4.0106
2,-3.8599
3,-4.3441
4,-4.1416
5,-3.7618
6,-4.1154
7,-3.4793
8,-4.0666
9,-4.3558
10,-3.4668
11,-3.7808
12,-3.6273
13,-3.5521
14,-3.4811
15,-3.9089
16,-3.9111
17,-4.0239
18,-4.0885
19,-3.4383
20,-4.3805